Sc2PCl, relaxed, DFT PBE-GGA; DFT total energy = -6.228 eV per atom; total magnetic moment = 1.37 μB per cell; space-group type = Imm2; formation energy (no corrections) = -1248 meV per atom
1.0
-1.125 -4.036 -5.241
3.227 -1.612 -5.658
0.095 0.950 6.641
P Sc Cl
1 2 1
Direct
0.207 0.707 0.500
0.055 0.055 0.000
0.780 0.280 0.500
0.457 0.457 0.000